(1)
This record from Alexandria describes CePaAs2Rh5 after structural relaxation. The functional is PBE-GGA.

The structure in POSCAR format:
```
CePaAs2Rh5
1.0
4.0174 0.0000 0.0000
0.0000 4.0174 0.0000
0.0000 0.0000 11.3898
As Pa Rh Ce
2 1 5 1
direct
0.5000 0.5000 0.2888
0.5000 0.5000 0.7112
0.0000 0.0000 0.0000
0.0000 0.5000 0.8315
0.5000 0.5000 0.5000
0.5000 0.0000 0.1685
0.5000 0.0000 0.8315
0.0000 0.5000 0.1685
0.0000 0.0000 0.5000
```

Space group = P4/mmm
Energy = -7.512 eV/atom



(2)
This record from Alexandria describes CaCu3Sn3 after structural relaxation. The functional is PBE-GGA.

The structure in POSCAR format:
```
CaCu3Sn3
1.0
-0.0104 -0.4401 -4.2620
2.6387 -8.6004 0.8816
-8.8063 2.0307 -0.1882
Ca Cu Sn
2 6 6
direct
0.7500 0.3334 0.6667
0.2500 0.6666 0.3333
0.7500 0.5890 0.5359
0.2500 0.5359 0.9469
0.7500 0.4641 0.0531
0.7500 0.9469 0.4110
0.2500 0.0531 0.5890
0.2500 0.4110 0.4641
0.2500 0.7024 0.7650
0.7500 0.9374 0.7024
0.2500 0.0626 0.2976
0.2500 0.2350 0.9374
0.7500 0.2976 0.2350
0.7500 0.7650 0.0626
```

Space group = P6_3/m
Relative energy among the computed polymorphs = 0 meV/atom
Energy = -3.867 eV/atom



(3)
This record from Alexandria describes ZnPd6Pt after structural relaxation. The functional is PBE-GGA.

The structure in POSCAR format:
```
ZnPd6Pt
1.0
-3.8934 0.3805 5.6919
-7.1855 -1.1075 -0.2212
-3.2511 -3.1335 2.1807
Pt Pd Zn
1 6 1
direct
0.0000 0.0000 0.0000
0.9622 0.4744 0.8127
0.5229 0.7506 0.6900
0.7503 0.9588 0.7658
0.0378 0.5256 0.1873
0.2497 0.0412 0.2342
0.4771 0.2494 0.3100
0.5000 0.5000 0.5000
```

Space group = P-1
Relative energy among the computed polymorphs = 109 meV/atom
Energy = -4.857 eV/atom



(4)
This record from Alexandria describes K3Ho3TiS8 after structural relaxation. The functional is PBE-GGA.

The structure in POSCAR format:
```
K3Ho3TiS8
1.0
-1.8289 -2.1809 7.2774
3.3665 -5.0939 -4.8760
5.1343 6.3343 3.1887
S K Ho Ti
8 3 3 1
direct
0.2159 0.9717 0.6876
0.2661 0.5322 0.2983
0.2443 0.0283 0.3124
0.7557 0.9717 0.6876
0.2159 0.4319 0.6876
0.7841 0.0283 0.3124
0.7339 0.4678 0.7017
0.7841 0.5681 0.3124
0.0000 0.5000 0.0000
0.5000 0.5000 0.0000
0.0000 0.0000 0.0000
0.0000 0.5000 0.5000
0.5000 0.0000 0.5000
0.5000 0.5000 0.5000
0.0000 0.0000 0.5000
```

Space group = R-3m
Uncorrected formation energy = -1745 meV/atom
Energy = -5.608 eV/atom



(5)
This record from Alexandria describes La2PbI after structural relaxation. The functional is PBE-GGA.

The structure in POSCAR format:
```
La2PbI
1.0
0.0000 4.0113 4.0113
4.0113 0.0000 4.0113
4.0113 4.0113 0.0000
La Pb I
2 1 1
direct
0.7500 0.7500 0.7500
0.2500 0.2500 0.2500
0.5000 0.5000 0.5000
0.0000 0.0000 0.0000
```

Space group = Fm-3m
Relative energy among the computed polymorphs = 97 meV/atom
Uncorrected formation energy = -782 meV/atom
Energy = -4.561 eV/atom



(6)
This record from Alexandria describes PmPrIr2 after structural relaxation. The functional is PBE-GGA.

The structure in POSCAR format:
```
PmPrIr2
1.0
-4.3317 -1.1129 2.2802
-2.6802 -3.9697 -1.5031
-0.3232 -4.0647 2.9283
Ir Pm Pr
2 1 1
direct
0.7500 0.7500 0.7500
0.2500 0.2500 0.2500
0.5000 0.5000 0.5000
0.0000 0.0000 0.0000
```

Space group = Fm-3m
Relative energy among the computed polymorphs = 76 meV/atom
Energy = -7.354 eV/atom



(7)
This record from Alexandria describes Pm3NdDy2 after structural relaxation. The functional is PBE-GGA.

The structure in POSCAR format:
```
Pm3NdDy2
1.0
-1.1959 0.6102 -7.1079
1.4479 -6.0471 -0.7627
-7.9050 -2.5131 4.7950
Pm Dy Nd
6 4 2
direct
0.0422 0.0838 0.3358
0.3761 0.7500 0.0000
0.2936 0.5838 0.3358
0.7064 0.4162 0.6642
0.9578 0.9162 0.6642
0.6239 0.2500 0.0000
0.4570 0.9175 0.6653
0.5430 0.0825 0.3347
0.7917 0.5825 0.3347
0.2083 0.4175 0.6653
0.8742 0.7500 0.0000
0.1258 0.2500 0.0000
```

Space group = C2/c
Relative energy among the computed polymorphs = 15 meV/atom
Energy = -4.689 eV/atom



(8)
This record from Alexandria describes ZrGaOs after structural relaxation. The functional is PBE-GGA.

The structure in POSCAR format:
```
ZrGaOs
1.0
-3.6720 -1.3646 -0.1103
0.9733 -2.3392 -3.4627
3.3561 -3.9608 3.6190
Ga Zr Os
2 2 2
direct
0.7595 0.7500 0.5059
0.2405 0.2500 0.4941
0.8931 0.2500 0.8254
0.1069 0.7500 0.1746
0.6040 0.2500 0.1870
0.3960 0.7500 0.8130
```

Space group = P2_1/m
Energy = -7.853 eV/atom



(9)
This record from Alexandria describes LaBiO4 after structural relaxation. The functional is PBE-GGA.

The structure in POSCAR format:
```
LaBiO4
1.0
-1.1817 4.4636 3.4279
-4.4358 3.3118 -5.8417
-5.7942 -4.3166 3.6233
Bi O La
4 16 4
direct
0.7306 0.8379 0.6885
0.7694 0.8379 0.1885
0.2694 0.1621 0.3115
0.2306 0.1621 0.8115
0.4985 0.3389 0.8767
0.9985 0.6611 0.6233
0.5126 0.6153 0.6678
0.0976 0.9265 0.3093
0.0015 0.3389 0.3767
0.5976 0.0735 0.1907
0.1174 0.1746 0.0667
0.4024 0.9265 0.8093
0.5015 0.6611 0.1233
0.6174 0.8254 0.4333
0.8826 0.8254 0.9333
0.4874 0.3847 0.3322
0.9874 0.6153 0.1678
0.3826 0.1746 0.5667
0.0126 0.3847 0.8322
0.9024 0.0735 0.6907
0.7328 0.3603 0.6065
0.7672 0.3603 0.1065
0.2328 0.6397 0.8935
0.2672 0.6397 0.3935
```

Space group = P2_1/c
Uncorrected formation energy = -1998 meV/atom
Energy = -6.771 eV/atom



(10)
This record from Alexandria describes RbSmSe2O8 after structural relaxation. The functional is PBE-GGA.

The structure in POSCAR format:
```
RbSmSe2O8
1.0
-5.4005 1.3998 -0.5388
1.5970 -3.4862 4.0879
1.2356 6.8202 5.3336
O Sm Se Rb
8 1 2 1
direct
0.9067 0.6417 0.3339
0.6417 0.7349 0.6661
0.3333 0.6667 0.9216
0.0933 0.3583 0.6661
0.3583 0.2651 0.3339
0.2651 0.9067 0.6661
0.7349 0.0933 0.3339
0.6667 0.3333 0.0784
0.0000 0.0000 0.5000
0.6667 0.3333 0.2663
0.3333 0.6667 0.7337
0.0000 0.0000 0.0000
```

Space group = P-3
Relative energy among the computed polymorphs = 10 meV/atom
Uncorrected formation energy = -1533 meV/atom
Energy = -5.894 eV/atom



(11)
This record from Alexandria describes TbFe4Re after structural relaxation. The functional is PBE-GGA.

The structure in POSCAR format:
```
TbFe4Re
1.0
4.9394 0.0000 0.0000
2.4697 4.2776 0.0000
2.4697 1.4259 4.0330
Fe Re Tb
4 1 1
direct
0.1297 0.6234 0.6234
0.6234 0.1297 0.6234
0.6234 0.6234 0.6234
0.6234 0.6234 0.1297
0.2500 0.2500 0.2500
0.0000 0.0000 0.0000
```

Space group = F-43m
Energy = -8.335 eV/atom



(12)
This record from Alexandria describes LaSb4As after structural relaxation. The functional is PBE-GGA.

The structure in POSCAR format:
```
LaSb4As
1.0
0.0000 4.3854 4.3854
4.3854 0.0000 4.3854
4.3854 4.3854 0.0000
Sb La As
4 1 1
direct
0.3762 0.3762 0.3762
0.3762 0.3762 0.8715
0.3762 0.8715 0.3762
0.8715 0.3762 0.3762
0.0000 0.0000 0.0000
0.7500 0.7500 0.7500
```

Space group = F-43m
Uncorrected formation energy = -89 meV/atom
Energy = -4.433 eV/atom